DFT (PBE) results for crystalline AcCe2Rh at its relaxed geometry. Values from VASP.

Geometry as Quantum ESPRESSO input:
```
&SYSTEM
  ibrav = 0, nat = 4, ntyp = 3
/
ATOMIC_SPECIES
Ac 227.00 Ac.upf
Rh 102.91 Rh.upf
Ce 140.12 Ce.upf
CELL_PARAMETERS angstrom
-2.557 -2.305 -1.729
1.156 -3.322 -1.573
-2.188 -6.771 7.969
ATOMIC_POSITIONS angstrom
Ac 0.000 0.000 0.000
Rh -1.795 -6.199 2.333
Ce -1.605 -5.112 4.895
Ce -1.985 -7.286 -0.229
```

Calculated values
E above lowest polymorph (meV per atom): 164
Total magnetization (μB per formula unit): 2.45
DOS at the Fermi energy (states/eV per atom): 3.05
Raw total energy (eV per atom): -5.94

=====

DFT (PBE) results for crystalline La3US6 at its relaxed geometry. Values from VASP.

Geometry as Quantum ESPRESSO input:
```
&SYSTEM
  ibrav = 0, nat = 20, ntyp = 3
/
ATOMIC_SPECIES
La 138.91 La.upf
U 238.03 U.upf
S 32.06 S.upf
CELL_PARAMETERS angstrom
8.383 -0.050 -0.051
-0.232 8.380 -0.051
-0.232 -0.237 8.376
ATOMIC_POSITIONS angstrom
La 3.216 7.536 6.195
La 7.464 6.119 3.515
La 1.964 4.747 0.603
La 5.955 3.346 7.671
La 0.455 1.975 4.760
La 4.704 0.557 2.080
U 0.000 0.000 0.000
U 3.960 4.047 4.137
S 2.375 7.637 0.555
S 0.336 7.594 5.723
S 4.642 6.658 3.771
S 7.585 5.710 0.627
S 3.521 4.720 6.740
S 1.364 4.429 3.407
S 6.555 3.664 4.868
S 4.398 3.374 1.535
S 0.334 2.383 7.648
S 3.277 1.436 4.503
S 7.584 0.499 2.552
S 5.544 0.456 7.719
```

Calculated values
Total magnetization (μB per formula unit): 3.03
DOS at the Fermi energy (states/eV per atom): 0.67
Formation energy (no corrections) (meV/atom): -1934
Raw total energy (eV per atom): -7.02

=====

DFT (PBE) results for crystalline LuTh2Cd at its relaxed geometry. Values from VASP.

Geometry as Quantum ESPRESSO input:
```
&SYSTEM
  ibrav = 0, nat = 4, ntyp = 3
/
ATOMIC_SPECIES
Lu 174.97 Lu.upf
Th 232.04 Th.upf
Cd 112.41 Cd.upf
CELL_PARAMETERS angstrom
5.498 0.000 0.000
2.749 4.761 0.000
2.749 1.587 4.489
ATOMIC_POSITIONS angstrom
Lu 0.000 0.000 0.000
Th 2.749 1.587 1.122
Th 8.247 4.761 3.367
Cd 5.498 3.174 2.244
```

Calculated values
E above lowest polymorph (meV per atom): 83
Total magnetization (μB per formula unit): 0.00
DOS at the Fermi energy (states/eV per atom): 0.96
Raw total energy (eV per atom): -4.98

=====

DFT (PBE) results for crystalline ReAuCl at its relaxed geometry. Values from VASP.

Geometry as Quantum ESPRESSO input:
```
&SYSTEM
  ibrav = 0, nat = 3, ntyp = 3
/
ATOMIC_SPECIES
Au 196.97 Au.upf
Cl 35.45 Cl.upf
Re 186.21 Re.upf
CELL_PARAMETERS angstrom
4.344 0.000 0.000
2.172 3.762 0.000
2.172 1.254 3.547
ATOMIC_POSITIONS angstrom
Au 0.000 0.000 0.000
Cl 4.344 2.508 1.774
Re 6.516 3.762 2.660
```

Calculated values
E above lowest polymorph (meV per atom): 685
Total magnetization (μB per formula unit): 0.00
DOS at the Fermi energy (states/eV per atom): 0.98
Formation energy (no corrections) (meV/atom): 1184
Raw total energy (eV per atom): -4.67

=====

DFT (PBE) results for crystalline Ba2NiAgW at its relaxed geometry. Values from VASP.

Geometry as Quantum ESPRESSO input:
```
&SYSTEM
  ibrav = 0, nat = 5, ntyp = 4
/
ATOMIC_SPECIES
Ag 107.87 Ag.upf
Ba 137.33 Ba.upf
W 183.84 W.upf
Ni 58.69 Ni.upf
CELL_PARAMETERS angstrom
-0.654 4.579 3.942
-4.477 -0.604 -0.040
0.487 -3.912 4.625
ATOMIC_POSITIONS angstrom
Ag -2.322 0.031 4.263
Ba 0.243 -1.956 2.312
Ba -0.327 2.289 1.971
W 0.000 0.000 0.000
Ni -2.239 -0.302 -0.020
```

Calculated values
Total magnetization (μB per formula unit): 0.00
DOS at the Fermi energy (states/eV per atom): 0.80
Raw total energy (eV per atom): -4.22

=====

DFT (PBE) results for crystalline CdSiNO2 at its relaxed geometry. Values from VASP.

Geometry as Quantum ESPRESSO input:
```
&SYSTEM
  ibrav = 0, nat = 5, ntyp = 4
/
ATOMIC_SPECIES
Si 28.09 Si.upf
N 14.01 N.upf
O 16.00 O.upf
Cd 112.41 Cd.upf
CELL_PARAMETERS angstrom
-1.418 3.839 -0.894
0.728 -0.679 -4.070
-3.854 -1.525 -0.435
ATOMIC_POSITIONS angstrom
Si -2.272 0.818 -2.699
N -1.927 -0.762 -0.217
O 0.364 -0.339 -2.035
O -0.709 1.920 -0.447
Cd 0.000 0.000 0.000
```

Calculated values
Total magnetization (μB per formula unit): 1.79
DOS at the Fermi energy (states/eV per atom): 0.50
Formation energy (no corrections) (meV/atom): 1080
Raw total energy (eV per atom): -3.84

=====

DFT (PBE) results for crystalline NpAg5Te6 at its relaxed geometry. Values from VASP.

Geometry as Quantum ESPRESSO input:
```
&SYSTEM
  ibrav = 0, nat = 12, ntyp = 3
/
ATOMIC_SPECIES
Np 237.00 Np.upf
Ag 107.87 Ag.upf
Te 127.60 Te.upf
CELL_PARAMETERS angstrom
7.215 0.207 0.000
2.216 7.362 0.000
1.108 3.681 6.121
ATOMIC_POSITIONS angstrom
Np 0.000 0.000 0.000
Ag 4.715 3.784 4.517
Ag 1.108 3.681 2.256
Ag 4.715 3.784 0.000
Ag 2.216 7.362 3.864
Ag 5.823 7.465 1.604
Te 5.763 1.875 2.054
Te 3.668 5.694 2.054
Te 2.173 2.219 0.000
Te 7.258 5.350 0.000
Te 6.871 5.556 4.067
Te 4.775 9.375 4.067
```

Calculated values
Total magnetization (μB per formula unit): 2.67
DOS at the Fermi energy (states/eV per atom): 1.03
Formation energy (no corrections) (meV/atom): -131
Raw total energy (eV per atom): -3.97

=====

DFT (PBE) results for crystalline NpNbO5 at its relaxed geometry. Values from VASP.

Geometry as Quantum ESPRESSO input:
```
&SYSTEM
  ibrav = 0, nat = 7, ntyp = 3
/
ATOMIC_SPECIES
Np 237.00 Np.upf
Nb 92.91 Nb.upf
O 16.00 O.upf
CELL_PARAMETERS angstrom
0.035 3.636 1.347
-2.399 0.240 4.996
4.060 0.648 3.725
ATOMIC_POSITIONS angstrom
Np 0.848 2.262 5.034
Nb 0.000 0.000 0.000
O 0.455 2.927 3.250
O 2.108 0.525 4.109
O 0.018 1.818 0.674
O -0.447 0.363 4.612
O 1.241 1.597 6.819
```

Calculated values
Total magnetization (μB per formula unit): 2.00
DOS at the Fermi energy (states/eV per atom): 0.76
Formation energy (no corrections) (meV/atom): -2690
Raw total energy (eV per atom): -9.52